Here is an optimized crystal structure of CaSn3Pt from Alexandria via LeMat-Bulk. Energies are from PBE-GGA.

## Properties
Space group: Pm-3m, No. 221
Calculated volume (Å³/cell): 149.99
Total DFT energy (no corrections) (eV per atom): -4.14
Formation energy from the elements (eV/atom): -0.13

Cell: 5.313 5.313 5.313 Å, 90.00 90.00 90.00°
Fractional coordinates of all 5 atoms:
Ca 0.500 0.500 0.500
Sn 0.000 0.500 0.000
Sn 0.000 0.000 0.500
Sn 0.500 0.000 0.000
Pt 0.000 0.000 0.000